DFT (PBE-GGA) results for TiTlPO2 after structural relaxation.

For the density of states at the Fermi level, the calculation gives 0.479 states/eV per atom. The value obtained for the total energy is -32.3 eV/f.u. The value obtained for the energy above the most stable polymorph in this dataset is 0.0000 eV/atom. Its mass density is 6.6 g/cm³. The calculation puts the formation energy without anion corrections at -1347 meV per atom.

Unit cell a=3.846 b=3.846 c=5.361 alpha=90.00 beta=90.00 gamma=90.00
Space group P4/mmm (No. 123)
One atom of each set of equivalent atoms:
Ti (0.000, 0.000, 0.000)
Tl (0.500, 0.500, 0.500)
P (0.000, 0.000, 0.500)
O (0.000, 0.500, 0.000)